The following is a GGA-PBE calculation of a relaxed Cs3NdTh2S6 crystal, from the Alexandria database.

Cell: 7.2633 7.2633 8.4983 Å, 98.19 98.19 120.00°
Atoms (fractional coordinates):
Cs  0.0000  0.0000  0.0000
Cs  0.3348  0.6652  0.0000
Cs  0.6652  0.3348  0.0000
Nd  0.5000  0.5000  0.5000
Th  0.1668  0.8332  0.5000
Th  0.8332  0.1668  0.5000
S  0.0962  0.4368  0.3108
S  0.2222  0.2222  0.6886
S  0.4368  0.0962  0.3108
S  0.5632  0.9038  0.6892
S  0.7778  0.7778  0.3114
S  0.9038  0.5632  0.6892

Computed properties:
Fermi-level density of states	7.03	states/eV/f.u.



The following is a GGA-PBE calculation of a relaxed Cs2NdThS4 crystal, from the Alexandria database.

Cell: 7.2802 4.2170 8.4781 Å, 90.00 106.62 90.00°
Atoms (fractional coordinates):
Cs  0.0000  0.0000  0.0000
Cs  0.5000  0.5000  0.0000
Nd  0.0000  0.5000  0.5000
Th  0.5000  0.0000  0.5000
S  0.2365  0.0000  0.6883
S  0.2768  0.5000  0.3124
S  0.7232  0.5000  0.6876
S  0.7635  0.0000  0.3117

Computed properties:
Fermi-level density of states	3.98	states/eV/f.u.



The following is a GGA-PBE calculation of a relaxed Cs3Nd3TiS8 crystal, from the Alexandria database.

Cell: 9.4815 9.4815 9.4815 Å, 50.92 50.92 50.92°
Atoms (fractional coordinates):
Cs  0.0000  0.5000  0.5000
Cs  0.5000  0.0000  0.5000
Cs  0.5000  0.5000  0.0000
Nd  0.0000  0.0000  0.5000
Nd  0.0000  0.5000  0.0000
Nd  0.5000  0.0000  0.0000
Ti  0.5000  0.5000  0.5000
S  0.2296  0.2296  0.2296
S  0.2602  0.7057  0.7057
S  0.2943  0.2943  0.7398
S  0.2943  0.7398  0.2943
S  0.7057  0.2602  0.7057
S  0.7057  0.7057  0.2602
S  0.7398  0.2943  0.2943
S  0.7704  0.7704  0.7704



The following is a GGA-PBE calculation of a relaxed CsNdTiS4 crystal, from the Alexandria database.

Cell: 6.8013 6.8659 9.5936 Å, 90.00 108.14 90.00°
Atoms (fractional coordinates):
Cs  0.2261  0.2500  0.4374
Cs  0.7739  0.7500  0.5626
Nd  0.2815  0.2500  0.9541
Nd  0.7185  0.7500  0.0459
Ti  0.2715  0.7500  0.1630
Ti  0.7285  0.2500  0.8370
S  0.0663  0.7500  0.9316
S  0.0690  0.7500  0.3091
S  0.5001  0.0023  0.1953
S  0.5001  0.4977  0.1953
S  0.4999  0.5023  0.8047
S  0.4999  0.9977  0.8047
S  0.9310  0.2500  0.6909
S  0.9337  0.2500  0.0684

Computed properties:
Fermi-level density of states	0.00	states/eV/f.u.



The following is a GGA-PBE calculation of a relaxed Cs3Nd2TmS6 crystal, from the Alexandria database.

Cell: 7.2513 7.2513 8.4396 Å, 98.24 98.24 120.00°
Atoms (fractional coordinates):
Cs  0.0000  0.0000  0.0000
Cs  0.3317  0.6683  0.0000
Cs  0.6683  0.3317  0.0000
Nd  0.1666  0.8334  0.5000
Nd  0.8334  0.1666  0.5000
Tm  0.5000  0.5000  0.5000
S  0.1169  0.4387  0.3163
S  0.2398  0.2398  0.6846
S  0.4387  0.1169  0.3163
S  0.5613  0.8831  0.6837
S  0.7602  0.7602  0.3154
S  0.8831  0.5613  0.6837

Computed properties:
Fermi-level density of states	0.00	states/eV/f.u.



The following is a GGA-PBE calculation of a relaxed Cs4Nd3TmS8 crystal, from the Alexandria database.

Cell: 9.4356 9.4356 9.4356 Å, 52.91 52.91 52.91°
Atoms (fractional coordinates):
Cs  0.0000  0.0000  0.0000
Cs  0.0000  0.5000  0.5000
Cs  0.5000  0.0000  0.5000
Cs  0.5000  0.5000  0.0000
Nd  0.0000  0.0000  0.5000
Nd  0.0000  0.5000  0.0000
Nd  0.5000  0.0000  0.0000
Tm  0.5000  0.5000  0.5000
S  0.2293  0.2293  0.2293
S  0.2382  0.7227  0.7227
S  0.2773  0.2773  0.7618
S  0.2773  0.7618  0.2773
S  0.7227  0.2382  0.7227
S  0.7227  0.7227  0.2382
S  0.7618  0.2773  0.2773
S  0.7707  0.7707  0.7707

Computed properties:
Fermi-level density of states	0.00	states/eV/f.u.



The following is a GGA-PBE calculation of a relaxed Cs2NdUS6 crystal, from the Alexandria database.

Cell: 7.5959 7.5959 10.7402 Å, 90.00 90.00 90.00°
Atoms (fractional coordinates):
Cs  0.0000  0.5000  0.2500
Cs  0.0000  0.5000  0.7500
Cs  0.5000  0.0000  0.2500
Cs  0.5000  0.0000  0.7500
Nd  0.0000  0.0000  0.0000
Nd  0.5000  0.5000  0.5000
U  0.0000  0.0000  0.5000
U  0.5000  0.5000  0.0000
S  0.0000  0.0000  0.2625
S  0.0000  0.0000  0.7375
S  0.2368  0.2379  0.5000
S  0.2379  0.7632  0.5000
S  0.2621  0.2632  0.0000
S  0.2632  0.7379  0.0000
S  0.5000  0.5000  0.2375
S  0.5000  0.5000  0.7625
S  0.7368  0.2621  0.0000
S  0.7379  0.7368  0.0000
S  0.7621  0.2368  0.5000
S  0.7632  0.7621  0.5000

Computed properties:
Fermi-level density of states	7.57	states/eV/f.u.



The following is a GGA-PBE calculation of a relaxed CsNdUS4 crystal, from the Alexandria database.

Cell: 8.6629 8.6629 8.6629 Å, 121.19 117.61 91.07°
Atoms (fractional coordinates):
Cs  0.3863  0.1363  0.2500
Cs  0.6137  0.8637  0.7500
Nd  0.0000  0.5000  0.5000
Nd  0.5000  0.5000  0.0000
U  0.0000  0.0000  0.5000
U  0.0000  0.5000  0.0000
S  0.1751  0.7340  0.4411
S  0.2071  0.2660  0.9411
S  0.2211  0.2610  0.5400
S  0.2211  0.6811  0.9600
S  0.7789  0.3189  0.0400
S  0.7789  0.7390  0.4600
S  0.7929  0.7340  0.0589
S  0.8249  0.2660  0.5589

Computed properties:
Fermi-level density of states	4.70	states/eV/f.u.



The following is a GGA-PBE calculation of a relaxed Cs4NdU3S8 crystal, from the Alexandria database.

Cell: 9.4208 9.4208 9.4208 Å, 52.12 52.12 52.12°
Atoms (fractional coordinates):
Cs  0.0000  0.0000  0.0000
Cs  0.0000  0.5000  0.5000
Cs  0.5000  0.0000  0.5000
Cs  0.5000  0.5000  0.0000
Nd  0.5000  0.5000  0.5000
U  0.0000  0.0000  0.5000
U  0.0000  0.5000  0.0000
U  0.5000  0.0000  0.0000
S  0.2199  0.7323  0.7323
S  0.2268  0.2268  0.2268
S  0.2677  0.2677  0.7801
S  0.2677  0.7801  0.2677
S  0.7323  0.2199  0.7323
S  0.7323  0.7323  0.2199
S  0.7732  0.7732  0.7732
S  0.7801  0.2677  0.2677

Computed properties:
Fermi-level density of states	16.21	states/eV/f.u.



The following is a GGA-PBE calculation of a relaxed Cs2NdVS4 crystal, from the Alexandria database.

Cell: 14.9321 13.4195 8.0154 Å, 84.30 63.41 32.29°
Atoms (fractional coordinates):
Cs  0.0555  0.0555  0.6945
Cs  0.3055  0.3055  0.9445
Cs  0.6945  0.6945  0.0555
Cs  0.9445  0.9445  0.3055
Nd  0.1250  0.1250  0.1250
Nd  0.8750  0.8750  0.8750
V  0.3750  0.3750  0.3750
V  0.6250  0.6250  0.6250
S  0.0267  0.6271  0.5336
S  0.3126  0.5336  0.6271
S  0.3729  0.9733  0.6874
S  0.4664  0.6874  0.9733
S  0.5336  0.3126  0.0267
S  0.6271  0.0267  0.3126
S  0.6874  0.4664  0.3729
S  0.9733  0.3729  0.4664

Computed properties:
Fermi-level density of states	4.30	states/eV/f.u.



The records above give, respectively, energy relative to the elements, uncorrected values of -164.7; -167.3; -161.2; -157.1; -174.7; -174.4; -130.4; -149.2; -139.6; -116.4 kJ per mole of atoms.
The records above give, respectively, uncorrected energy values of -5.62; -5.53; -5.52; -5.92; -5.25; -5.26; -5.60; -6.32; -6.14; -5.22 eV per atom.